# 1
The following is a DFT calculation (PBE) of a relaxed SrGePtO6 crystal.

Unit cell a=5.170 b=5.170 c=10.936 alpha=90.00 beta=90.00 gamma=120.00
Each line ends with the local moment (μB).
Element x y z (fractional)
Sr1 0.000 0.000 0.000  0.00
Sr2 0.000 0.000 0.500  0.00
Ge1 0.667 0.333 0.250  -0.01
Ge2 0.333 0.667 0.750  -0.01
Pt1 0.333 0.667 0.250  0.60
Pt2 0.667 0.333 0.750  0.60
O1 0.634 0.625 0.152  0.19
O2 0.992 0.366 0.152  0.19
O3 0.366 0.992 0.652  0.19
O4 0.008 0.634 0.848  0.19
O5 0.375 0.366 0.348  0.19
O6 0.992 0.625 0.348  0.19
O7 0.625 0.992 0.848  0.19
O8 0.634 0.008 0.348  0.19
O9 0.008 0.375 0.652  0.19
O10 0.375 0.008 0.152  0.19
O11 0.625 0.634 0.652  0.19
O12 0.366 0.375 0.848  0.19

Values from the calculation:
As for the symmetry: P-31c (163). The energy is -6.063 eV per atom. The value obtained for the density of states at the Fermi level is 0.358 states/eV/atom.

# 2
The following is a DFT calculation (PBE) of a relaxed CeLuIr2 crystal.

Unit cell a=3.970 b=3.970 c=6.936 alpha=73.37 beta=73.37 gamma=60.00
Element x y z (fractional)
Ir1 0.750 0.750 0.750
Ir2 0.250 0.250 0.250
Lu1 0.500 0.500 0.500
Ce1 0.000 0.000 0.000

Values from the calculation:
As for the symmetry: R-3m (166). The value obtained for the density of states at the Fermi level is 0.742 states/eV/atom. For the formation enthalpy at 0 K, the calculation gives -0.64 eV/atom.